1.
First-principles (PBE) data for a relaxed structure of RbCu2Si2, as listed in Alexandria.

Output
Calculated volume   18.56 Å³ per atom
Symmetry   P4/mbm
Energy relative to the lowest polymorph listed for this composition   0.196 eV per atom

abc: 8.224 8.224 2.744
angles: 90.00 90.00 90.00
Atoms (fractional coordinates):
Si  0.865  0.365  0.500
Cu  0.874  0.626  0.000
Si  0.635  0.865  0.500
Si  0.135  0.635  0.500
Rb  0.000  0.000  0.000
Cu  0.374  0.874  0.000
Rb  0.500  0.500  0.000
Si  0.365  0.135  0.500
Cu  0.126  0.374  0.000
Cu  0.626  0.126  0.000

=====

2.
First-principles (PBE) data for a relaxed structure of Nd2As3Pd6, as listed in Alexandria.

Output
Energy relative to the elements   -8.8 eV per formula unit
Calculated volume   19.24 Å³ per atom
Symmetry   P-62m

abc: 4.323 7.518 7.518
angles: 120.00 90.00 90.00
Atoms (fractional coordinates):
Pd  0.500  0.699  0.699
As  0.500  0.370  0.370
Pd  0.500  0.301  0.000
Pd  0.500  0.000  0.301
Pd  0.000  0.209  0.209
Pd  0.000  0.791  0.000
As  0.500  0.630  0.000
Pd  0.000  0.000  0.791
As  0.500  0.000  0.630
Nd  0.000  0.333  0.667
Nd  0.000  0.667  0.333

=====

3.
First-principles (PBE) data for a relaxed structure of KLi2AsAu, as listed in Alexandria.

Output
Energy relative to the elements   -1.8 eV per formula unit
Calculated volume   26.10 Å³ per atom
Symmetry   P4/mmm

abc: 4.875 4.875 5.490
angles: 90.00 90.00 90.00
Atoms (fractional coordinates):
Li  0.000  0.500  0.000
As  0.000  0.000  0.000
Li  0.500  0.000  0.000
K  0.500  0.500  0.500
Au  0.000  0.000  0.500

=====

4.
First-principles (PBE) data for a relaxed structure of CoCu2Sb, as listed in Alexandria.

Output
Calculated volume   15.26 Å³ per atom
Symmetry   I-42d
Uncorrected energy   -4.52 eV/atom

abc: 3.634 3.634 9.595
angles: 79.09 79.09 90.00
Atoms (fractional coordinates):
Sb  0.750  0.250  0.500
Cu  0.875  0.858  0.750
Cu  0.142  0.625  0.250
Cu  0.608  0.125  0.250
Co  0.250  0.750  0.500
Co  0.500  0.500  0.000
Cu  0.375  0.392  0.750
Sb  0.000  0.000  0.000

=====

5.
First-principles (PBE) data for a relaxed structure of LaNdSn2, as listed in Alexandria.

Output
Energy relative to the elements   -2.3 eV per formula unit
Calculated volume   33.56 Å³ per atom
Symmetry   R-3m

abc: 4.261 4.261 8.886
angles: 76.13 76.13 60.00
Atoms (fractional coordinates):
Sn  0.252  0.252  0.244
Nd  0.000  0.000  0.000
La  0.500  0.500  0.500
Sn  0.748  0.748  0.756

=====

6.
First-principles (PBE) data for a relaxed structure of SmGaHPt2, as listed in Alexandria.

Output
Calculated volume   16.02 Å³ per atom
Symmetry   Cmcm
Uncorrected energy   -5.50 eV/atom

abc: 3.887 5.846 7.475
angles: 90.00 90.00 109.42
Atoms (fractional coordinates):
Pt  0.154  0.309  0.944
Ga  0.267  0.534  0.250
Pt  0.154  0.309  0.556
H  0.000  0.000  0.500
Pt  0.846  0.691  0.056
Ga  0.733  0.466  0.750
Pt  0.846  0.691  0.444
Sm  0.550  0.100  0.250
Sm  0.450  0.900  0.750
H  0.000  0.000  0.000

=====

7.
First-principles (PBE) data for a relaxed structure of LiSm2NpO6, as listed in Alexandria.

Output
Calculated volume   14.70 Å³ per atom
Symmetry   R3
Uncorrected energy   -8.40 eV/atom

abc: 5.842 5.842 6.010
angles: 60.92 60.92 60.00
Atoms (fractional coordinates):
Np  0.316  0.316  0.051
O  0.681  0.120  0.771
Sm  0.028  0.028  0.917
O  0.951  0.596  0.251
O  0.596  0.201  0.251
O  0.120  0.428  0.771
O  0.428  0.681  0.771
O  0.201  0.951  0.251
Sm  0.533  0.533  0.400
Li  0.806  0.806  0.581

=====

8.
First-principles (PBE) data for a relaxed structure of Li4Ac2GaSn3, as listed in Alexandria.

Output
Energy relative to the elements   -5.0 eV per formula unit
Calculated volume   24.16 Å³ per atom
Symmetry   P-4m2

abc: 4.683 4.683 11.016
angles: 90.00 90.00 90.00
Atoms (fractional coordinates):
Li  0.000  0.000  0.000
Sn  0.000  0.000  0.500
Ac  0.000  0.500  0.753
Li  0.500  0.500  0.000
Ac  0.500  0.000  0.247
Ga  0.500  0.500  0.500
Sn  0.000  0.500  0.131
Li  0.000  0.500  0.375
Li  0.500  0.000  0.625
Sn  0.500  0.000  0.869